Entry from Alexandria via LeMat-Bulk: a geometry-optimized K2RbNaHg structure (PBE-GGA).

## Properties
**Calculated density**: 2.3 g/cm³
**Energy of formation**: -0.021 eV/atom
**Relative energy among the computed polymorphs**: 0.215 eV/f.u.

Unit cell a=4.749 b=6.623 c=17.739 alpha=90.00 beta=90.00 gamma=90.00
Fractional positions:
K: 0.000 0.000 0.000
K: 0.000 0.000 0.314
K: 0.500 0.500 0.500
K: 0.500 0.500 0.814
Rb: 0.000 0.000 0.575
Rb: 0.500 0.500 0.075
Na: 0.000 0.000 0.781
Na: 0.500 0.500 0.281
Hg: 0.000 0.500 0.666
Hg: 0.500 0.000 0.166